No. 1
This record from Alexandria via LeMat-Bulk describes a relaxed structure of Hf5NbRu4. The functional is PBE-GGA.

```
Hf5NbRu4
1.0
3.241 0.000 0.000
0.000 3.241 0.000
0.000 0.000 16.785
Hf Nb Ru
5 1 4
Cartesian
0.000 0.000 0.000
0.000 0.000 3.261
0.000 0.000 6.504
0.000 0.000 10.281
0.000 0.000 13.524
1.621 1.621 8.393
1.621 1.621 1.622
1.621 1.621 4.863
1.621 1.621 11.922
1.621 1.621 15.163
```

Calculated values
Raw total energy in eV/atom: -10.33
Symmetry: P4/mmm (123)
DFT formation energy in eV/atom: -0.64
Magnetization in Bohr magnetons per cell: 0.0
Calculated density in g cm⁻³: 13.08


No. 2
This record from Alexandria via LeMat-Bulk describes a relaxed structure of KTe2Cl. The functional is PBE-GGA.

```
KTe2Cl
1.0
4.715 -2.340 0.000
4.715 2.340 0.000
-4.100 0.000 7.502
K Te Cl
1 2 1
Cartesian
0.000 0.000 0.000
0.270 0.000 4.007
6.403 0.000 3.187
2.939 0.000 0.618
```

Calculated values
Offset from the most stable computed form in eV per atom: 0.097
Raw total energy in eV/atom: -3.06
Symmetry: Cm (8)
Magnetization in Bohr magnetons per cell: 0.0
Calculated density in g cm⁻³: 3.31
Energy relative to the elements, uncorrected in eV/atom: -0.752